TmAlNi2H: relaxed, PBE-GGA.

abc: 3.604 5.511 6.962
angles: 90.00 90.00 109.09
Fractional coordinates of all 10 atoms:
Tm1 0.447 0.894 0.750
Tm2 0.553 0.106 0.250
Ni1 0.155 0.309 0.945
Ni2 0.845 0.691 0.055
Ni3 0.155 0.309 0.555
Ni4 0.845 0.691 0.445
Al1 0.274 0.547 0.250
Al2 0.726 0.453 0.750
H1 0.000 0.000 0.500
H2 0.000 0.000 0.000

Computed properties:
Energy ... -5.169 eV/atom
Space group ... No. 63